Computed, not measured: an optimized crystal structure of HoTm5Rh2 at the PBE level of DFT.

Structure (POSCAR):
```
HoTm5Rh2
1.0
1.8701 -6.4834 0.0000
1.8701 6.4834 0.0000
0.0000 0.0000 17.7557
Ho Tm Rh
2 10 4
direct
0.2259 0.7741 0.7500
0.7741 0.2259 0.2500
0.0483 0.9517 0.2500
0.1712 0.8288 0.5588
0.1712 0.8288 0.9412
0.4398 0.5602 0.5883
0.4398 0.5602 0.9117
0.5602 0.4398 0.0883
0.5602 0.4398 0.4117
0.8288 0.1712 0.0588
0.8288 0.1712 0.4412
0.9517 0.0483 0.7500
0.2019 0.7981 0.1358
0.2019 0.7981 0.3642
0.7981 0.2019 0.6358
0.7981 0.2019 0.8642
```

**Calculated density**: 9.37 g cm⁻³
**Space group**: Cmcm (63)
**Uncorrected energy**: -5.65 eV per atom
**Crystal system**: orthorhombic

Computed, not measured: an optimized crystal structure of Ac4Ir2PtCl at the PBE level of DFT.

Structure (POSCAR):
```
Ac4Ir2PtCl
1.0
0.0000 6.1463 4.3879
4.3889 0.0000 4.3879
4.3889 6.1463 0.0000
Ac Ir Pt Cl
4 2 1 1
direct
0.0002 0.5005 0.9998
0.2403 0.7597 0.2403
0.5005 0.0002 0.4995
0.7597 0.2403 0.7597
0.2501 0.2501 0.2499
0.7501 0.7501 0.7499
0.0008 0.0008 0.9992
0.5002 0.5002 0.4998
```

**Calculated density**: 10.68 g cm⁻³
**Space group**: Fmm2 (42)
**Uncorrected energy**: -6.28 eV per atom
**Uncorrected formation energy**: -1026 meV per atom
**Crystal system**: orthorhombic

Computed, not measured: an optimized crystal structure of CdFeBr2 at the PBE level of DFT.

Structure (POSCAR):
```
CdFeBr2
1.0
1.8685 -3.0737 0.0000
1.8685 3.0737 0.0000
0.0000 0.0000 9.2801
Cd Fe Br
1 1 2
direct
0.0000 0.0000 0.0000
0.5000 0.5000 0.2262
0.0000 0.0000 0.3992
0.5000 0.5000 0.7929
```

**Distance to the lowest polymorph of the same formula**: 116 meV per atom
**Calculated density**: 5.11 g cm⁻³
**Space group**: Cmm2 (35)
**Uncorrected energy**: -3.18 eV per atom
**Uncorrected formation energy**: -3 meV per atom
**Crystal system**: orthorhombic

Computed, not measured: an optimized crystal structure of SrAg2O at the PBE level of DFT.

Structure (POSCAR):
```
SrAg2O
1.0
-2.6192 2.6192 7.5017
2.6192 -2.6192 7.5017
2.6192 2.6192 -7.5017
Sr Ag O
2 4 2
direct
0.0000 0.0000 0.0000
0.7500 0.2500 0.5000
0.3473 0.6250 0.2223
0.3750 0.5973 0.7223
0.4027 0.1250 0.7777
0.8750 0.6527 0.2777
0.2500 0.7500 0.5000
0.5000 0.5000 0.0000
```

**Calculated density**: 5.15 g cm⁻³
**Space group**: I-42d (122)
**Uncorrected energy**: -3.23 eV per atom
**Uncorrected formation energy**: -143 meV per atom
**Crystal system**: tetragonal

Computed, not measured: an optimized crystal structure of YCd2Ru at the PBE level of DFT.

Structure (POSCAR):
```
YCd2Ru
1.0
2.8291 -5.3293 0.0000
2.8291 5.3293 0.0000
-1.8363 0.0000 2.8246
Y Cd Ru
1 2 1
direct
0.0000 0.0000 0.0000
0.0000 0.5000 0.5000
0.5000 0.0000 0.5000
0.5000 0.5000 0.0000
```

**Calculated density**: 8.09 g cm⁻³
**Space group**: C2/m (12)
**Uncorrected energy**: -4.30 eV per atom
**Crystal system**: monoclinic

Computed, not measured: an optimized crystal structure of Sr2CeSmS4 at the PBE level of DFT.

Structure (POSCAR):
```
Sr2CeSmS4
1.0
7.1193 0.0000 0.0000
0.0000 4.1127 0.0000
-2.3722 0.0000 6.8769
Sr Ce Sm S
2 1 1 4
direct
0.0000 0.0000 0.0000
0.5000 0.5000 0.0000
0.0000 0.5000 0.5000
0.5000 0.0000 0.5000
0.2482 0.0000 0.7388
0.2558 0.5000 0.2630
0.7442 0.5000 0.7370
0.7518 0.0000 0.2612
```

**Calculated density**: 4.90 g cm⁻³
**Space group**: P2/m (10)
**Uncorrected energy**: -5.84 eV per atom
**Uncorrected formation energy**: -2029 meV per atom
**Crystal system**: monoclinic

Computed, not measured: an optimized crystal structure of PmHo3Er2S6 at the PBE level of DFT.

Structure (POSCAR):
```
PmHo3Er2S6
1.0
3.3732 -5.8661 0.0000
3.3732 5.8661 0.0000
-2.2544 0.0000 6.3688
Pm Ho Er S
1 3 2 6
direct
0.0000 0.0000 0.0000
0.1619 0.8381 0.5000
0.5000 0.5000 0.5000
0.8381 0.1619 0.5000
0.3341 0.6659 0.0000
0.6659 0.3341 0.0000
0.0846 0.4277 0.2543
0.2591 0.2591 0.7492
0.4277 0.0846 0.2543
0.5723 0.9154 0.7457
0.7409 0.7409 0.2508
0.9154 0.5723 0.7457
```

**Calculated density**: 7.69 g cm⁻³
**Space group**: C2/m (12)
**Uncorrected energy**: -6.34 eV per atom
**Uncorrected formation energy**: -1979 meV per atom
**Crystal system**: monoclinic

Computed, not measured: an optimized crystal structure of CsTl2SnIr at the PBE level of DFT.

Structure (POSCAR):
```
CsTl2SnIr
1.0
5.4390 0.0000 0.0000
0.0000 5.4390 0.0000
0.0000 0.0000 5.3176
Cs Tl Sn Ir
1 2 1 1
direct
0.0000 0.0000 0.0000
0.0000 0.5000 0.5000
0.5000 0.0000 0.5000
0.5000 0.5000 0.0000
0.5000 0.5000 0.5000
```

**Calculated density**: 9.00 g cm⁻³
**Space group**: P4/mmm (123)
**Uncorrected energy**: -3.62 eV per atom
**Crystal system**: tetragonal

Computed, not measured: an optimized crystal structure of Sm3Hg2Bi at the PBE level of DFT.

Structure (POSCAR):
```
Sm3Hg2Bi
1.0
2.6376 -8.0129 0.0000
2.6376 8.0129 0.0000
0.0000 0.0000 4.0240
Sm Hg Bi
3 2 1
direct
0.0000 0.0000 0.0000
0.3332 0.6668 0.0000
0.6668 0.3332 0.0000
0.1775 0.8225 0.5000
0.8225 0.1775 0.5000
0.5000 0.5000 0.5000
```

**Calculated density**: 10.36 g cm⁻³
**Space group**: Cmmm (65)
**Uncorrected energy**: -3.67 eV per atom
**Crystal system**: orthorhombic

Computed, not measured: an optimized crystal structure of AlV2Se4 at the PBE level of DFT.

Structure (POSCAR):
```
AlV2Se4
1.0
0.0000 5.3335 5.3335
5.3335 0.0000 5.3335
5.3335 5.3335 0.0000
Al V Se
2 4 8
direct
0.1250 0.1250 0.1250
0.8750 0.8750 0.8750
0.0000 0.5000 0.5000
0.5000 0.0000 0.5000
0.5000 0.5000 0.0000
0.5000 0.5000 0.5000
0.2571 0.2571 0.2571
0.2571 0.2571 0.7287
0.2571 0.7287 0.2571
0.2713 0.7429 0.7429
0.7287 0.2571 0.2571
0.7429 0.2713 0.7429
0.7429 0.7429 0.2713
0.7429 0.7429 0.7429
```

**Calculated density**: 4.87 g cm⁻³
**Space group**: Fd-3m (227)
**Uncorrected energy**: -5.82 eV per atom
**Uncorrected formation energy**: -686 meV per atom
**Crystal system**: cubic

Computed, not measured: an optimized crystal structure of SiMoAu2 at the PBE level of DFT.

Structure (POSCAR):
```
SiMoAu2
1.0
4.6270 -1.4233 0.0000
4.6270 1.4233 0.0000
-1.5871 0.0000 5.0606
Si Mo Au
1 1 2
direct
0.0000 0.0000 0.0000
0.7458 0.7458 0.1223
0.2896 0.2896 0.6624
0.5171 0.5171 0.4262
```

**Calculated density**: 12.90 g cm⁻³
**Space group**: Cm (8)
**Uncorrected energy**: -5.56 eV per atom
**Uncorrected formation energy**: 145 meV per atom
**Crystal system**: monoclinic

Computed, not measured: an optimized crystal structure of Ga3Cu3SiSe8 at the PBE level of DFT.

Structure (POSCAR):
```
Ga3Cu3SiSe8
1.0
5.6706 0.0000 0.0000
0.0000 5.6706 0.0000
0.0000 0.0000 10.8238
Ga Cu Si Se
3 3 1 8
direct
0.0000 0.0000 0.0000
0.0000 0.5000 0.2583
0.5000 0.0000 0.7417
0.0000 0.5000 0.7378
0.5000 0.0000 0.2622
0.5000 0.5000 0.0000
0.5000 0.5000 0.5000
0.2480 0.7445 0.8700
0.2499 0.2520 0.6094
0.2520 0.7501 0.3906
0.2555 0.2480 0.1300
0.7445 0.7520 0.1300
0.7480 0.2499 0.3906
0.7501 0.7480 0.6094
0.7520 0.2555 0.8700
```

**Calculated density**: 5.06 g cm⁻³
**Space group**: P-4 (81)
**Uncorrected energy**: -4.11 eV per atom
**Uncorrected formation energy**: -469 meV per atom
**Crystal system**: tetragonal

Q: uncorrected energy of number 10 (AlV2Se4)?
A: -5.82 eV per atom

Q: calculated density of number 4 (SrAg2O)?
A: 5.15 g cm⁻³